No. 1
Here is a geometry-optimized GdIrCl6 structure from OQMD via LeMat-Bulk. Energies are from PBE.

Lattice parameters (Å, degrees): 6.3789 11.0233 6.4778 90.00 109.20 90.00
With the nearest neighbours (Å) after each atom.
Fractional positions:
Gd: 0.0000 0.0000 0.0000  6 Cl 2.67-2.68
Gd: 0.5000 0.5000 0.0000  6 Cl 2.67-2.68
Ir: 0.0000 0.6672 0.0000  6 Cl 2.38
Ir: 0.5000 0.1672 0.0000  6 Cl 2.38
Cl: 0.2204 0.6686 0.7667  1 Ir 2.38
Cl: 0.2243 0.5173 0.2349  1 Ir 2.38
Cl: 0.2300 0.8150 0.2351  1 Ir 2.38
Cl: 0.2700 0.3150 0.7649  1 Ir 2.38
Cl: 0.2757 0.0173 0.7651  1 Ir 2.38
Cl: 0.2796 0.1686 0.2333  1 Ir 2.38
Cl: 0.7204 0.1686 0.7667  1 Ir 2.38
Cl: 0.7243 0.0173 0.2349  1 Ir 2.38
Cl: 0.7300 0.3150 0.2351  1 Ir 2.38
Cl: 0.7700 0.8150 0.7649  1 Ir 2.38
Cl: 0.7757 0.5173 0.7651  1 Ir 2.38
Cl: 0.7796 0.6686 0.2333  1 Ir 2.38

Calculated volume ... 215.1 Å³/f.u.
DFT total energy ... -4.42 eV/atom

No. 2
Here is a geometry-optimized K3GdCl6 structure from OQMD via LeMat-Bulk. Energies are from PBE.

Lattice parameters (Å, degrees): 7.3844 7.9651 12.6859 90.00 123.30 90.00
With the nearest neighbours (Å) after each atom.
Fractional positions:
K: 0.0000 0.0000 0.0000  6 Cl 3.07-3.12
K: 0.0000 0.5000 0.5000  6 Cl 3.07-3.12
K: 0.2103 0.0845 0.7435  6 Cl 3.12-3.39
K: 0.2103 0.4155 0.2435  6 Cl 3.12-3.39
K: 0.7897 0.5845 0.7565  6 Cl 3.12-3.39
K: 0.7897 0.9155 0.2565  6 Cl 3.12-3.39
Gd: 0.5000 0.0000 0.5000  6 Cl 2.67-2.68
Gd: 0.5000 0.5000 0.0000  6 Cl 2.67-2.68
Cl: 0.1467 0.1733 0.4409  1 Gd 2.67
Cl: 0.1467 0.3267 0.9409  1 Gd 2.67
Cl: 0.2647 0.7165 0.4250  1 Gd 2.68
Cl: 0.2647 0.7835 0.9250  1 Gd 2.68
Cl: 0.4057 0.0558 0.2672  1 Gd 2.67
Cl: 0.4057 0.4442 0.7672  1 Gd 2.67
Cl: 0.5943 0.5558 0.2328  1 Gd 2.67
Cl: 0.5943 0.9442 0.7328  1 Gd 2.67
Cl: 0.7353 0.2165 0.0750  1 Gd 2.68
Cl: 0.7353 0.2835 0.5750  1 Gd 2.68
Cl: 0.8533 0.6733 0.0591  1 Gd 2.67
Cl: 0.8533 0.8267 0.5591  1 Gd 2.67

Calculated volume ... 311.8 Å³/f.u.
DFT total energy ... -4.03 eV/atom

No. 3
Here is a geometry-optimized KGdCl4 structure from OQMD via LeMat-Bulk. Energies are from PBE.

Lattice parameters (Å, degrees): 8.7427 8.7427 8.7427 132.26 132.26 69.82
With the nearest neighbours (Å) after each atom.
Fractional positions:
K: 0.3750 0.1250 0.2500  8 Cl 3.19-3.20
K: 0.6250 0.8750 0.7500  8 Cl 3.19-3.20
Gd: 0.1250 0.3750 0.7500  4 Cl 2.59
Gd: 0.8750 0.6250 0.2500  4 Cl 2.59
Cl: 0.0247 0.7060 0.7810  1 Gd 2.59
Cl: 0.2060 0.9250 0.6813  1 Gd 2.59
Cl: 0.2562 0.4753 0.1813  1 Gd 2.59
Cl: 0.4250 0.2438 0.7190  1 Gd 2.59
Cl: 0.5750 0.7562 0.2810  1 Gd 2.59
Cl: 0.7438 0.5247 0.8187  1 Gd 2.59
Cl: 0.7940 0.0750 0.3187  1 Gd 2.59
Cl: 0.9753 0.2940 0.2190  1 Gd 2.59

Calculated volume ... 179.5 Å³/f.u.
DFT total energy ... -4.33 eV/atom

No. 4
Here is a geometry-optimized LaGdSbCl2 structure from OQMD via LeMat-Bulk. Energies are from PBE.

Lattice parameters (Å, degrees): 4.3026 4.3026 10.7555 90.00 90.00 120.00
With the nearest neighbours (Å) after each atom.
Fractional positions:
La: 0.0000 0.0000 0.0000  3 Cl 2.96, 3 Sb 3.14
Gd: 0.6667 0.3333 0.6601  3 Cl 2.90, 3 Sb 3.03
Sb: 0.3333 0.6667 0.8212  3 Gd 3.03, 3 La 3.14
Cl: 0.0000 0.0000 0.5212  3 Gd 2.90
Cl: 0.6667 0.3333 0.1498  3 La 2.96

Calculated volume ... 172.4 Å³/f.u.
DFT total energy ... -5.21 eV/atom

No. 5
Here is a geometry-optimized Gd4NCl5 structure from OQMD via LeMat-Bulk. Energies are from PBE.

Lattice parameters (Å, degrees): 8.6873 8.6873 7.8099 103.45 103.45 24.46
With the nearest neighbours (Å) after each atom.
Fractional positions:
Gd: 0.0022 0.0022 0.2920  2 N 2.46, 1 Cl 2.75
Gd: 0.3566 0.3566 0.4196  1 N 2.37
Gd: 0.6434 0.6434 0.5804  1 N 2.37
Gd: 0.9978 0.9978 0.7080  2 N 2.46, 1 Cl 2.75
N: 0.5000 0.5000 0.5000  6 Gd 2.37-2.46
Cl: 0.1625 0.1625 0.8463  3 Gd 2.74-2.75
Cl: 0.1720 0.1720 0.3347  4 Gd 2.78-3.04
Cl: 0.5000 0.5000 0.0000  4 Gd 2.92
Cl: 0.8280 0.8280 0.6653  4 Gd 2.78-3.04
Cl: 0.8375 0.8375 0.1537  3 Gd 2.74-2.75

Calculated volume ... 237.1 Å³/f.u.
DFT total energy ... -5.50 eV/atom

No. 6
Here is a geometry-optimized Gd3NCl6 structure from OQMD via LeMat-Bulk. Energies are from PBE.

Lattice parameters (Å, degrees): 7.1219 8.2001 9.8590 75.83 71.03 65.55
With the nearest neighbours (Å) after each atom.
Fractional positions:
Gd: 0.0909 0.0893 0.1817  1 N 2.24
Gd: 0.2188 0.4307 0.2757  1 N 2.25
Gd: 0.2386 0.4182 0.8750  2 N 2.28-2.30
Gd: 0.7614 0.5818 0.1250  2 N 2.28-2.30
Gd: 0.7812 0.5693 0.7243  1 N 2.25
Gd: 0.9091 0.9107 0.8183  1 N 2.24
N: 0.0935 0.3697 0.1197  4 Gd 2.24-2.30
N: 0.9065 0.6303 0.8803  4 Gd 2.24-2.30
Cl: 0.0357 0.1754 0.8962  3 Gd 2.84-3.00
Cl: 0.1946 0.4171 0.5931  2 Gd 2.68-2.90
Cl: 0.2167 0.1060 0.4041  2 Gd 2.66-2.67
Cl: 0.3237 0.7201 0.2927  3 Gd 2.82-2.92
Cl: 0.3326 0.7394 0.7139  3 Gd 2.70-2.94
Cl: 0.5000 0.0000 0.0000  2 Gd 2.78
Cl: 0.5000 0.5000 0.0000  4 Gd 2.89
Cl: 0.6674 0.2606 0.2861  3 Gd 2.70-2.94
Cl: 0.6763 0.2799 0.7073  3 Gd 2.82-2.92
Cl: 0.7833 0.8940 0.5959  2 Gd 2.66-2.67
Cl: 0.8054 0.5829 0.4069  2 Gd 2.68-2.90
Cl: 0.9643 0.8246 0.1038  3 Gd 2.84-3.00

Calculated volume ... 245.8 Å³/f.u.
DFT total energy ... -5.52 eV/atom

No. 7
Here is a geometry-optimized GdYNCl2 structure from OQMD via LeMat-Bulk. Energies are from PBE.

Lattice parameters (Å, degrees): 3.6195 3.6195 10.1004 90.00 90.00 120.00
With the nearest neighbours (Å) after each atom.
Fractional positions:
Gd: 0.0000 0.0000 0.0000  3 N 2.48, 3 Cl 2.76
Y: 0.3333 0.6667 0.2599  3 N 2.45, 3 Cl 2.74
N: 0.6667 0.3333 0.1328  3 Y 2.45, 3 Gd 2.48
Cl: 0.0000 0.0000 0.4353  3 Y 2.74
Cl: 0.3333 0.6667 0.8219  3 Gd 2.76

Calculated volume ... 114.6 Å³/f.u.
DFT total energy ... -6.59 eV/atom

No. 8
Here is a geometry-optimized NaGdCl4 structure from OQMD via LeMat-Bulk. Energies are from PBE.

Lattice parameters (Å, degrees): 6.3602 7.7073 6.8393 90.00 91.80 90.00
With the nearest neighbours (Å) after each atom.
Fractional positions:
Na: 0.0000 0.1468 0.2500  6 Cl 2.76-2.88
Na: 0.0000 0.8532 0.7500  6 Cl 2.76-2.88
Gd: 0.5000 0.3401 0.7500  6 Cl 2.58-2.78
Gd: 0.5000 0.6599 0.2500  6 Cl 2.58-2.78
Cl: 0.2420 0.1190 0.5901  1 Gd 2.58, 2 Na 2.76-2.80
Cl: 0.2420 0.8810 0.0901  1 Gd 2.58, 2 Na 2.76-2.80
Cl: 0.2708 0.3948 0.0685  2 Gd 2.69-2.78, 1 Na 2.88
Cl: 0.2708 0.6052 0.5685  2 Gd 2.69-2.78, 1 Na 2.88
Cl: 0.7292 0.3948 0.4315  2 Gd 2.69-2.78, 1 Na 2.88
Cl: 0.7292 0.6052 0.9315  2 Gd 2.69-2.78, 1 Na 2.88
Cl: 0.7580 0.1190 0.9099  1 Gd 2.58, 2 Na 2.76-2.80
Cl: 0.7580 0.8810 0.4099  1 Gd 2.58, 2 Na 2.76-2.80

Calculated volume ... 167.6 Å³/f.u.
DFT total energy ... -4.35 eV/atom

No. 9
Here is a geometry-optimized GdTmNi2Cl2 structure from OQMD via LeMat-Bulk. Energies are from PBE.

Lattice parameters (Å, degrees): 3.9210 3.9210 10.5428 90.00 90.00 120.00
With the nearest neighbours (Å) after each atom.
Fractional positions:
Gd: 0.0000 0.0000 0.0000  3 Cl 2.86, 6 Ni 2.87-3.03
Tm: 0.0000 0.0000 0.6494  6 Ni 2.82-2.98, 3 Cl 2.82
Ni: 0.3333 0.6667 0.8326  3 Ni 2.28
Ni: 0.6667 0.3333 0.8087  3 Ni 2.28
Cl: 0.3333 0.6667 0.4898  3 Tm 2.82
Cl: 0.6667 0.3333 0.1654  3 Gd 2.86

Calculated volume ... 140.4 Å³/f.u.
DFT total energy ... -5.24 eV/atom

No. 10
Here is a geometry-optimized Gd3ClO4 structure from OQMD via LeMat-Bulk. Energies are from PBE.

Lattice parameters (Å, degrees): 3.9071 3.9071 8.8762 90.00 90.00 90.00
With the nearest neighbours (Å) after each atom.
Fractional positions:
Gd: 0.0000 0.0000 0.0000  8 O 2.40
Gd: 0.5000 0.5000 0.2668  4 O 2.18
Gd: 0.5000 0.5000 0.7332  4 O 2.18
Cl: 0.0000 0.0000 0.5000  8 Gd 3.45, 8 O 3.61
O: 0.0000 0.5000 0.1578  4 Gd 2.18-2.40
O: 0.0000 0.5000 0.8422  4 Gd 2.18-2.40
O: 0.5000 0.0000 0.1578  4 Gd 2.18-2.40
O: 0.5000 0.0000 0.8422  4 Gd 2.18-2.40

Calculated volume ... 135.5 Å³/f.u.
DFT total energy ... -7.67 eV/atom

No. 11
Here is a geometry-optimized Gd2Cl4O structure from OQMD via LeMat-Bulk. Energies are from PBE.

Lattice parameters (Å, degrees): 8.4517 8.4517 6.3114 97.47 97.47 43.34
With the nearest neighbours (Å) after each atom.
Fractional positions:
Gd: 0.0941 0.7370 0.9513  2 O 2.34-2.35
Gd: 0.2630 0.9059 0.5487  2 O 2.34-2.35
Gd: 0.7370 0.0941 0.4513  2 O 2.34-2.35
Gd: 0.9059 0.2630 0.0487  2 O 2.34-2.35
Cl: 0.1359 0.2667 0.8036  2 Gd 2.66-2.73
Cl: 0.2667 0.1359 0.3036  2 Gd 2.66-2.73
Cl: 0.3039 0.5183 0.5634  3 Gd 2.77-3.05
Cl: 0.4817 0.6961 0.9366  3 Gd 2.77-3.05
Cl: 0.5183 0.3039 0.0634  3 Gd 2.77-3.05
Cl: 0.6961 0.4817 0.4366  3 Gd 2.77-3.05
Cl: 0.7333 0.8641 0.6964  2 Gd 2.66-2.73
Cl: 0.8641 0.7333 0.1964  2 Gd 2.66-2.73
O: 0.0290 0.9710 0.2500  4 Gd 2.34-2.35
O: 0.9710 0.0290 0.7500  4 Gd 2.34-2.35

Calculated volume ... 153.2 Å³/f.u.
DFT total energy ... -5.64 eV/atom

No. 12
Here is a geometry-optimized GdSeClO3 structure from OQMD via LeMat-Bulk. Energies are from PBE.

Lattice parameters (Å, degrees): 7.1615 7.0175 8.8783 90.00 90.00 90.00
With the nearest neighbours (Å) after each atom.
Fractional positions:
Gd: 0.1055 0.2500 0.0408  5 O 2.23-2.39
Gd: 0.3945 0.7500 0.5408  5 O 2.23-2.39
Gd: 0.6055 0.2500 0.4592  5 O 2.23-2.39
Gd: 0.8945 0.7500 0.9592  5 O 2.23-2.39
Se: 0.2028 0.2500 0.6330  3 O 1.70-1.75
Se: 0.2972 0.7500 0.1330  3 O 1.70-1.75
Se: 0.7028 0.2500 0.8670  3 O 1.70-1.75
Se: 0.7972 0.7500 0.3670  3 O 1.70-1.75
Cl: 0.0494 0.7500 0.6775  2 Gd 2.74-2.75
Cl: 0.4506 0.2500 0.1775  2 Gd 2.74-2.75
Cl: 0.5494 0.7500 0.8225  2 Gd 2.74-2.75
Cl: 0.9506 0.2500 0.3225  2 Gd 2.74-2.75
O: 0.1472 0.5727 0.0656  1 Se 1.75
O: 0.1472 0.9273 0.0656  1 Se 1.75
O: 0.2455 0.7500 0.3198  1 Se 1.70
O: 0.2545 0.2500 0.8198  1 Se 1.70
O: 0.3528 0.0727 0.5656  1 Se 1.75
O: 0.3528 0.4273 0.5656  1 Se 1.75
O: 0.6472 0.5727 0.4344  1 Se 1.75
O: 0.6472 0.9273 0.4344  1 Se 1.75
O: 0.7455 0.7500 0.1802  1 Se 1.70
O: 0.7545 0.2500 0.6802  1 Se 1.70
O: 0.8528 0.0727 0.9344  1 Se 1.75
O: 0.8528 0.4273 0.9344  1 Se 1.75

Calculated volume ... 111.5 Å³/f.u.
DFT total energy ... -6.17 eV/atom

> Which value of calculated volume does entry 11 give?

153.2 Å³/f.u.

> calculated volume of number 2 (K3GdCl6)?

311.8 Å³/f.u.

> Which of these has the lowest DFT total energy?

Gd3ClO4